<w>
{
  "formula": "KB2F",
  "functional": "PBE",
  "state": "optimized geometry",
  "sg": "No. 141",
  "magmom_total_mub_per_atom": 0.00,
  "lattice_angstrom": [[-1.659, 1.659, 13.910], [1.659, -1.659, 13.910], [1.659, 1.659, -13.910]],
  "species": ["K", "K", "B", "B", "B", "B", "F", "F"],
  "fractional_positions": [[0.375, 0.625, 0.750], [0.625, 0.375, 0.250], [0.000, 0.000, 0.000], [0.000, 0.000, 0.500], [0.000, 0.500, 0.000], [0.500, 0.000, 0.500], [0.125, 0.875, 0.250], [0.875, 0.125, 0.750]]
}

<x>
{
  "formula": "KB2F",
  "functional": "PBE",
  "state": "optimized geometry",
  "sg": "No. 225",
  "magmom_total_mub_per_atom": 0.32,
  "lattice_angstrom": [[0.000, 3.295, 3.295], [3.295, 0.000, 3.295], [3.295, 3.295, 0.000]],
  "species": ["K", "B", "B", "F"],
  "fractional_positions": [[0.000, 0.000, 0.000], [0.250, 0.250, 0.250], [0.750, 0.750, 0.750], [0.500, 0.500, 0.500]]
}

Stability check: which of them is most stable? <w>.

<w>
{
  "formula": "KBPdF2",
  "functional": "PBE",
  "state": "optimized geometry",
  "sg": "No. 123",
  "magmom_total_mub_per_atom": 0.00,
  "lattice_angstrom": [[4.546, 0.000, 0.000], [0.000, 4.546, 0.000], [0.000, 0.000, 5.199]],
  "species": ["K", "B", "Pd", "F", "F"],
  "fractional_positions": [[0.000, 0.000, 0.000], [0.000, 0.000, 0.500], [0.500, 0.500, 0.500], [0.000, 0.500, 0.000], [0.500, 0.000, 0.000]]
}

<x>
{
  "formula": "KBPdF2",
  "functional": "PBE",
  "state": "optimized geometry",
  "sg": "No. 123",
  "magmom_total_mub_per_atom": 0.21,
  "lattice_angstrom": [[4.258, 0.000, 0.000], [0.000, 4.258, 0.000], [0.000, 0.000, 6.079]],
  "species": ["K", "B", "Pd", "F", "F"],
  "fractional_positions": [[0.000, 0.000, 0.000], [0.500, 0.500, 0.000], [0.000, 0.000, 0.500], [0.000, 0.500, 0.500], [0.500, 0.000, 0.500]]
}

Stability check: which of them is most stable? <x>.

<w>
{
  "formula": "LaB2F",
  "functional": "PBE",
  "state": "optimized geometry",
  "sg": "No. 141",
  "magmom_total_mub_per_atom": 0.00,
  "lattice_angstrom": [[-1.692, 1.692, 10.475], [1.692, -1.692, 10.475], [1.692, 1.692, -10.475]],
  "species": ["La", "La", "B", "B", "B", "B", "F", "F"],
  "fractional_positions": [[0.375, 0.625, 0.750], [0.625, 0.375, 0.250], [0.000, 0.000, 0.000], [0.000, 0.000, 0.500], [0.000, 0.500, 0.000], [0.500, 0.000, 0.500], [0.125, 0.875, 0.250], [0.875, 0.125, 0.750]]
}

<x>
{
  "formula": "LaB2F",
  "functional": "PBE",
  "state": "optimized geometry",
  "sg": "No. 225",
  "magmom_total_mub_per_atom": 0.00,
  "lattice_angstrom": [[0.000, 3.134, 3.134], [3.134, 0.000, 3.134], [3.134, 3.134, 0.000]],
  "species": ["La", "B", "B", "F"],
  "fractional_positions": [[0.000, 0.000, 0.000], [0.250, 0.250, 0.250], [0.750, 0.750, 0.750], [0.500, 0.500, 0.500]]
}

Stability check: which of them is most stable? <w>.

<w>
{
  "formula": "LaBF2",
  "functional": "PBE",
  "state": "optimized geometry",
  "sg": "No. 166",
  "magmom_total_mub_per_atom": 0.42,
  "lattice_angstrom": [[2.154, 1.243, 4.085], [-2.154, 1.243, 4.085], [0.000, -2.487, 4.085]],
  "species": ["La", "B", "F", "F"],
  "fractional_positions": [[0.000, 0.000, 0.000], [0.500, 0.500, 0.500], [0.316, 0.316, 0.316], [0.684, 0.684, 0.684]]
}

<x>
{
  "formula": "LaBF2",
  "functional": "PBE",
  "state": "optimized geometry",
  "sg": "No. 225",
  "magmom_total_mub_per_atom": 0.50,
  "lattice_angstrom": [[0.000, 3.083, 3.083], [3.083, 0.000, 3.083], [3.083, 3.083, 0.000]],
  "species": ["La", "B", "F", "F"],
  "fractional_positions": [[0.000, 0.000, 0.000], [0.500, 0.500, 0.500], [0.250, 0.250, 0.250], [0.750, 0.750, 0.750]]
}

<y>
{
  "formula": "LaBF2",
  "functional": "PBE",
  "state": "optimized geometry",
  "sg": "No. 122",
  "magmom_total_mub_per_atom": 0.00,
  "lattice_angstrom": [[-2.049, 2.049, 8.014], [2.049, -2.049, 8.014], [2.049, 2.049, -8.014]],
  "species": ["La", "La", "B", "B", "F", "F", "F", "F"],
  "fractional_positions": [[0.000, 0.000, 0.000], [0.750, 0.250, 0.500], [0.250, 0.750, 0.500], [0.500, 0.500, 0.000], [0.093, 0.625, 0.968], [0.375, 0.343, 0.468], [0.657, 0.125, 0.032], [0.875, 0.907, 0.532]]
}

Stability check: which of them is most stable? <w>.

<w>
{
  "formula": "LaBF",
  "functional": "PBE",
  "state": "optimized geometry",
  "sg": "No. 166",
  "magmom_total_mub_per_atom": 0.00,
  "lattice_angstrom": [[1.783, 1.029, 8.765], [-1.783, 1.029, 8.765], [0.000, -2.058, 8.765]],
  "species": ["La", "La", "B", "B", "F", "F"],
  "fractional_positions": [[0.076, 0.076, 0.076], [0.924, 0.924, 0.924], [0.334, 0.334, 0.334], [0.666, 0.666, 0.666], [0.205, 0.205, 0.205], [0.795, 0.795, 0.795]]
}

<x>
{
  "formula": "LaBF",
  "functional": "PBE",
  "state": "optimized geometry",
  "sg": "No. 71",
  "magmom_total_mub_per_atom": 0.00,
  "lattice_angstrom": [[-1.601, 2.037, 8.516], [1.601, -2.037, 8.516], [1.601, 2.037, -8.516]],
  "species": ["La", "La", "B", "B", "F", "F"],
  "fractional_positions": [[0.147, 0.147, 0.000], [0.853, 0.853, 0.000], [0.000, 0.247, 0.247], [0.000, 0.753, 0.753], [0.318, 0.318, 0.000], [0.682, 0.682, 0.000]]
}

Stability check: which of them is most stable? <w>.

<w>
{
  "formula": "LaB3F",
  "functional": "PBE",
  "state": "optimized geometry",
  "sg": "No. 221",
  "magmom_total_mub_per_atom": 0.00,
  "lattice_angstrom": [[4.169, 0.000, 0.000], [0.000, 4.169, 0.000], [0.000, 0.000, 4.169]],
  "species": ["La", "B", "B", "B", "F"],
  "fractional_positions": [[0.000, 0.000, 0.000], [0.000, 0.500, 0.500], [0.500, 0.000, 0.500], [0.500, 0.500, 0.000], [0.500, 0.500, 0.500]]
}

<x>
{
  "formula": "LaB3F",
  "functional": "PBE",
  "state": "optimized geometry",
  "sg": "No. 221",
  "magmom_total_mub_per_atom": 0.00,
  "lattice_angstrom": [[5.128, 0.000, 0.000], [0.000, 5.128, 0.000], [0.000, 0.000, 5.128]],
  "species": ["La", "B", "B", "B", "F"],
  "fractional_positions": [[0.000, 0.000, 0.000], [0.000, 0.000, 0.500], [0.000, 0.500, 0.000], [0.500, 0.000, 0.000], [0.500, 0.500, 0.500]]
}

Stability check: which of them is most stable? <w>.

<w>
{
  "formula": "LaBOF2",
  "functional": "PBE",
  "state": "optimized geometry",
  "sg": "No. 123",
  "magmom_total_mub_per_atom": 0.00,
  "lattice_angstrom": [[4.564, 0.000, 0.000], [0.000, 4.564, 0.000], [0.000, 0.000, 2.976]],
  "species": ["La", "B", "O", "F", "F"],
  "fractional_positions": [[0.000, 0.000, 0.000], [0.500, 0.500, 0.500], [0.500, 0.500, 0.000], [0.000, 0.500, 0.500], [0.500, 0.000, 0.500]]
}

<x>
{
  "formula": "LaBOF2",
  "functional": "PBE",
  "state": "optimized geometry",
  "sg": "No. 123",
  "magmom_total_mub_per_atom": 0.00,
  "lattice_angstrom": [[4.686, 0.000, 0.000], [0.000, 4.686, 0.000], [0.000, 0.000, 4.625]],
  "species": ["La", "B", "O", "F", "F"],
  "fractional_positions": [[0.000, 0.000, 0.000], [0.500, 0.500, 0.500], [0.000, 0.000, 0.500], [0.000, 0.500, 0.000], [0.500, 0.000, 0.000]]
}

Stability check: which of them is most stable? <w>.

<w>
{
  "formula": "LiBF2",
  "functional": "PBE",
  "state": "optimized geometry",
  "sg": "No. 225",
  "magmom_total_mub_per_atom": 0.00,
  "lattice_angstrom": [[0.000, 2.736, 2.736], [2.736, 0.000, 2.736], [2.736, 2.736, 0.000]],
  "species": ["Li", "B", "F", "F"],
  "fractional_positions": [[0.000, 0.000, 0.000], [0.500, 0.500, 0.500], [0.250, 0.250, 0.250], [0.750, 0.750, 0.750]]
}

<x>
{
  "formula": "LiBF2",
  "functional": "PBE",
  "state": "optimized geometry",
  "sg": "No. 122",
  "magmom_total_mub_per_atom": 0.00,
  "lattice_angstrom": [[-2.371, 2.371, 4.585], [2.371, -2.371, 4.585], [2.371, 2.371, -4.585]],
  "species": ["Li", "Li", "B", "B", "F", "F", "F", "F"],
  "fractional_positions": [[0.000, 0.000, 0.000], [0.750, 0.250, 0.500], [0.250, 0.750, 0.500], [0.500, 0.500, 0.000], [0.083, 0.625, 0.958], [0.375, 0.333, 0.458], [0.667, 0.125, 0.042], [0.875, 0.917, 0.542]]
}

<y>
{
  "formula": "LiBF2",
  "functional": "PBE",
  "state": "optimized geometry",
  "sg": "No. 166",
  "magmom_total_mub_per_atom": 0.00,
  "lattice_angstrom": [[1.661, 0.959, 6.058], [-1.661, 0.959, 6.058], [0.000, -1.918, 6.058]],
  "species": ["Li", "B", "F", "F"],
  "fractional_positions": [[0.000, 0.000, 0.000], [0.500, 0.500, 0.500], [0.094, 0.094, 0.094], [0.906, 0.906, 0.906]]
}

Stability check: which of them is most stable? <x>.

<w>
{
  "formula": "LiB3F",
  "functional": "PBE",
  "state": "optimized geometry",
  "sg": "No. 221",
  "magmom_total_mub_per_atom": 0.00,
  "lattice_angstrom": [[3.747, 0.000, 0.000], [0.000, 3.747, 0.000], [0.000, 0.000, 3.747]],
  "species": ["Li", "B", "B", "B", "F"],
  "fractional_positions": [[0.000, 0.000, 0.000], [0.000, 0.000, 0.500], [0.000, 0.500, 0.000], [0.500, 0.000, 0.000], [0.500, 0.500, 0.500]]
}

<x>
{
  "formula": "LiB3F",
  "functional": "PBE",
  "state": "optimized geometry",
  "sg": "No. 221",
  "magmom_total_mub_per_atom": 0.00,
  "lattice_angstrom": [[3.943, 0.000, 0.000], [0.000, 3.943, 0.000], [0.000, 0.000, 3.943]],
  "species": ["Li", "B", "B", "B", "F"],
  "fractional_positions": [[0.000, 0.000, 0.000], [0.000, 0.500, 0.500], [0.500, 0.000, 0.500], [0.500, 0.500, 0.000], [0.500, 0.500, 0.500]]
}

Stability check: which of them is most stable? <x>.

<w>
{
  "formula": "MgB2F8",
  "functional": "PBE",
  "state": "optimized geometry",
  "sg": "No. 12",
  "magmom_total_mub_per_atom": 0.01,
  "lattice_angstrom": [[4.838, -3.036, 0.000], [4.838, 3.036, 0.000], [-0.849, 0.000, 4.652]],
  "species": ["Mg", "B", "B", "F", "F", "F", "F", "F", "F", "F", "F"],
  "fractional_positions": [[0.000, 0.000, 0.000], [0.191, 0.191, 0.664], [0.809, 0.809, 0.336], [0.060, 0.691, 0.220], [0.147, 0.147, 0.356], [0.309, 0.940, 0.780], [0.332, 0.332, 0.736], [0.668, 0.668, 0.264], [0.691, 0.060, 0.220], [0.853, 0.853, 0.644], [0.940, 0.309, 0.780]]
}

<x>
{
  "formula": "MgB2F8",
  "functional": "PBE",
  "state": "optimized geometry",
  "sg": "No. 15",
  "magmom_total_mub_per_atom": 0.01,
  "lattice_angstrom": [[6.273, -3.437, 0.000], [6.273, 3.437, 0.000], [-5.416, 0.000, 7.282]],
  "species": ["Mg", "Mg", "B", "B", "B", "B", "F", "F", "F", "F", "F", "F", "F", "F", "F", "F", "F", "F", "F", "F", "F", "F"],
  "fractional_positions": [[0.030, 0.970, 0.750], [0.970, 0.030, 0.250], [0.135, 0.666, 0.446], [0.334, 0.865, 0.054], [0.666, 0.135, 0.946], [0.865, 0.334, 0.554], [0.081, 0.235, 0.517], [0.086, 0.748, 0.310], [0.217, 0.721, 0.880], [0.231, 0.428, 0.394], [0.235, 0.081, 0.017], [0.252, 0.914, 0.190], [0.279, 0.783, 0.620], [0.428, 0.231, 0.894], [0.572, 0.769, 0.106], [0.721, 0.217, 0.380], [0.748, 0.086, 0.810], [0.765, 0.919, 0.983], [0.769, 0.572, 0.606], [0.783, 0.279, 0.120], [0.914, 0.252, 0.690], [0.919, 0.765, 0.483]]
}

Stability check: which of them is most stable? <x>.

<w>
{
  "formula": "MgBF2",
  "functional": "PBE",
  "state": "optimized geometry",
  "sg": "No. 166",
  "magmom_total_mub_per_atom": 0.02,
  "lattice_angstrom": [[1.486, 0.858, 8.271], [-1.486, 0.858, 8.271], [0.000, -1.716, 8.271]],
  "species": ["Mg", "B", "F", "F"],
  "fractional_positions": [[0.000, 0.000, 0.000], [0.500, 0.500, 0.500], [0.373, 0.373, 0.373], [0.627, 0.627, 0.627]]
}

<x>
{
  "formula": "MgBF2",
  "functional": "PBE",
  "state": "optimized geometry",
  "sg": "No. 166",
  "magmom_total_mub_per_atom": 0.00,
  "lattice_angstrom": [[1.731, 1.000, 6.315], [-1.731, 1.000, 6.315], [0.000, -1.999, 6.315]],
  "species": ["Mg", "B", "F", "F"],
  "fractional_positions": [[0.000, 0.000, 0.000], [0.500, 0.500, 0.500], [0.100, 0.100, 0.100], [0.900, 0.900, 0.900]]
}

<y>
{
  "formula": "MgBF2",
  "functional": "PBE",
  "state": "optimized geometry",
  "sg": "No. 122",
  "magmom_total_mub_per_atom": 0.25,
  "lattice_angstrom": [[-2.873, 2.873, 4.482], [2.873, -2.873, 4.482], [2.873, 2.873, -4.482]],
  "species": ["Mg", "Mg", "B", "B", "F", "F", "F", "F"],
  "fractional_positions": [[0.000, 0.000, 0.000], [0.750, 0.250, 0.500], [0.250, 0.750, 0.500], [0.500, 0.500, 0.000], [0.375, 0.202, 0.327], [0.798, 0.125, 0.173], [0.875, 0.048, 0.673], [0.952, 0.625, 0.827]]
}

<z>
{
  "formula": "MgBF2",
  "functional": "PBE",
  "state": "optimized geometry",
  "sg": "No. 225",
  "magmom_total_mub_per_atom": 0.14,
  "lattice_angstrom": [[0.000, 2.843, 2.843], [2.843, 0.000, 2.843], [2.843, 2.843, 0.000]],
  "species": ["Mg", "B", "F", "F"],
  "fractional_positions": [[0.000, 0.000, 0.000], [0.500, 0.500, 0.500], [0.250, 0.250, 0.250], [0.750, 0.750, 0.750]]
}

Stability check: which of them is most stable? <w>.